[1]
# RbLiTlPb GGA-PBE optimized geometry
# Magnetic moment, μB/cell: 0.0
# Energy relative to the elements, eV/f.u.: -0.13
# Crystal system: cubic
data_RbLiTlPb
_chemical_formula_sum 'Rb4 Li4 Tl4 Pb4'
_space_group_name_H-M_alt 'F -4 3 m'
_space_group_IT_number 216
_space_group_name_Hall 'F -4 2 3'
_cell_length_a 7.9833
_cell_length_b 7.9833
_cell_length_c 7.9833
_cell_angle_alpha 90.00
_cell_angle_beta 90.00
_cell_angle_gamma 90.00
loop_
_atom_site_label
_atom_site_type_symbol
_atom_site_fract_x
_atom_site_fract_y
_atom_site_fract_z
Rb1 Rb 0.0000 0.0000 0.0000
Li1 Li 0.2500 0.2500 0.2500
Tl1 Tl 0.2500 0.2500 0.7500
Pb1 Pb 0.0000 0.0000 0.5000



[2]
# RbLi2TlPb GGA-PBE optimized geometry
# Magnetic moment, μB/cell: 0.0
# Energy above the most stable polymorph in this dataset, eV per formula unit: 1.09
# Energy relative to the elements, eV/f.u.: 0.78
# Crystal system: tetragonal
data_RbLi2TlPb
_chemical_formula_sum 'Rb1 Li2 Tl1 Pb1'
_space_group_name_H-M_alt 'P 4/m m m'
_space_group_IT_number 123
_space_group_name_Hall '-P 4 2'
_cell_length_a 5.4626
_cell_length_b 5.4626
_cell_length_c 6.7322
_cell_angle_alpha 90.00
_cell_angle_beta 90.00
_cell_angle_gamma 90.00
loop_
_atom_site_label
_atom_site_type_symbol
_atom_site_fract_x
_atom_site_fract_y
_atom_site_fract_z
Rb1 Rb 0.0000 0.0000 0.0000
Li1 Li 0.0000 0.5000 0.5000
Tl1 Tl 0.5000 0.5000 0.0000
Pb1 Pb 0.0000 0.0000 0.5000



[3]
# RbLiPbW2 GGA-PBE optimized geometry
# Magnetic moment, μB/cell: 4.2
# Energy relative to the elements, eV/f.u.: 10.15
# Crystal system: tetragonal
data_RbLiPbW2
_chemical_formula_sum 'Rb1 Li1 Pb1 W2'
_space_group_name_H-M_alt 'P 4/m m m'
_space_group_IT_number 123
_space_group_name_Hall '-P 4 2'
_cell_length_a 4.8394
_cell_length_b 4.8394
_cell_length_c 5.0533
_cell_angle_alpha 90.00
_cell_angle_beta 90.00
_cell_angle_gamma 90.00
loop_
_atom_site_label
_atom_site_type_symbol
_atom_site_fract_x
_atom_site_fract_y
_atom_site_fract_z
Rb1 Rb 0.0000 0.0000 0.0000
Li1 Li 0.5000 0.5000 0.5000
Pb1 Pb 0.5000 0.5000 0.0000
W1 W 0.0000 0.5000 0.5000



[4]
# Rb2LiPbW GGA-PBE optimized geometry
# Magnetic moment, μB/cell: 5.2
# Energy relative to the elements, eV/f.u.: 7.37
# Crystal system: tetragonal
data_Rb2LiPbW
_chemical_formula_sum 'Rb2 Li1 Pb1 W1'
_space_group_name_H-M_alt 'P 4/m m m'
_space_group_IT_number 123
_space_group_name_Hall '-P 4 2'
_cell_length_a 6.8994
_cell_length_b 6.8994
_cell_length_c 5.3862
_cell_angle_alpha 90.00
_cell_angle_beta 90.00
_cell_angle_gamma 90.00
loop_
_atom_site_label
_atom_site_type_symbol
_atom_site_fract_x
_atom_site_fract_y
_atom_site_fract_z
Rb1 Rb 0.0000 0.5000 0.0000
Li1 Li 0.0000 0.0000 0.5000
Pb1 Pb 0.0000 0.0000 0.0000
W1 W 0.5000 0.5000 0.5000



[5]
# LiRe2Pb GGA-PBE optimized geometry
# Magnetic moment, μB/cell: 0.0
# Energy relative to the elements, eV/f.u.: 2.04
# Crystal system: cubic
data_LiRe2Pb
_chemical_formula_sum 'Li4 Re8 Pb4'
_space_group_name_H-M_alt 'F -4 3 m'
_space_group_IT_number 216
_space_group_name_Hall 'F -4 2 3'
_cell_length_a 6.3690
_cell_length_b 6.3690
_cell_length_c 6.3690
_cell_angle_alpha 90.00
_cell_angle_beta 90.00
_cell_angle_gamma 90.00
loop_
_atom_site_label
_atom_site_type_symbol
_atom_site_fract_x
_atom_site_fract_y
_atom_site_fract_z
Li1 Li 0.0000 0.0000 0.0000
Re1 Re 0.0000 0.0000 0.5000
Re2 Re 0.2500 0.2500 0.2500
Pb1 Pb 0.2500 0.2500 0.7500



[6]
# LiRe2Pb GGA-PBE optimized geometry
# Magnetic moment, μB/cell: 0.0
# Energy relative to the elements, eV/f.u.: 3.00
# Crystal system: tetragonal
data_LiRe2Pb
_chemical_formula_sum 'Li4 Re8 Pb4'
_space_group_name_H-M_alt 'I -4 2 d'
_space_group_IT_number 122
_space_group_name_Hall 'I -4 2bw'
_cell_length_a 3.8363
_cell_length_b 3.8363
_cell_length_c 19.7978
_cell_angle_alpha 90.00
_cell_angle_beta 90.00
_cell_angle_gamma 90.00
loop_
_atom_site_label
_atom_site_type_symbol
_atom_site_fract_x
_atom_site_fract_y
_atom_site_fract_z
Li1 Li 0.0000 0.0000 0.0000
Re1 Re 0.1938 0.7500 0.1250
Pb1 Pb 0.0000 0.0000 0.5000



[7]
# LiRe2Pb GGA-PBE optimized geometry
# Magnetic moment, μB/cell: 0.0
# Energy relative to the elements, eV/f.u.: 2.87
# Crystal system: tetragonal
data_LiRe2Pb
_chemical_formula_sum 'Li2 Re4 Pb2'
_space_group_name_H-M_alt 'I 4/m m m'
_space_group_IT_number 139
_space_group_name_Hall '-I 4 2'
_cell_length_a 3.7736
_cell_length_b 3.7736
_cell_length_c 9.3600
_cell_angle_alpha 90.00
_cell_angle_beta 90.00
_cell_angle_gamma 90.00
loop_
_atom_site_label
_atom_site_type_symbol
_atom_site_fract_x
_atom_site_fract_y
_atom_site_fract_z
Li1 Li 0.0000 0.0000 0.0000
Re1 Re 0.0000 0.5000 0.2500
Pb1 Pb 0.0000 0.0000 0.5000



[8]
# LiRe2Pb GGA-PBE optimized geometry
# Magnetic moment, μB/cell: 0.0
# Energy relative to the elements, eV/f.u.: 4.21
# Crystal system: orthorhombic
data_LiRe2Pb
_chemical_formula_sum 'Li2 Re4 Pb2'
_space_group_name_H-M_alt 'C m m m'
_space_group_IT_number 65
_space_group_name_Hall '-C 2 2'
_cell_length_a 3.1308
_cell_length_b 4.5337
_cell_length_c 10.0732
_cell_angle_alpha 90.00
_cell_angle_beta 90.00
_cell_angle_gamma 90.00
loop_
_atom_site_label
_atom_site_type_symbol
_atom_site_fract_x
_atom_site_fract_y
_atom_site_fract_z
Li1 Li 0.0000 0.0000 0.0000
Re1 Re 0.0000 0.5000 0.2271
Pb1 Pb 0.0000 0.0000 0.5000



[9]
# Li4RePb GGA-PBE optimized geometry
# Magnetic moment, μB/cell: 1.7
# Energy relative to the elements, eV/f.u.: 2.50
# Crystal system: cubic
data_Li4RePb
_chemical_formula_sum 'Li16 Re4 Pb4'
_space_group_name_H-M_alt 'F -4 3 m'
_space_group_IT_number 216
_space_group_name_Hall 'F -4 2 3'
_cell_length_a 7.1073
_cell_length_b 7.1073
_cell_length_c 7.1073
_cell_angle_alpha 90.00
_cell_angle_beta 90.00
_cell_angle_gamma 90.00
loop_
_atom_site_label
_atom_site_type_symbol
_atom_site_fract_x
_atom_site_fract_y
_atom_site_fract_z
Li1 Li 0.1224 0.1224 0.3776
Re1 Re 0.2500 0.2500 0.7500
Pb1 Pb 0.0000 0.0000 0.0000



[10]
# LiRe2Pb GGA-PBE optimized geometry
# Magnetic moment, μB/cell: 0.0
# Energy relative to the elements, eV/f.u.: 2.48
# Crystal system: monoclinic
data_LiRe2Pb
_chemical_formula_sum 'Li1 Re2 Pb1'
_space_group_name_H-M_alt 'P 1 2/m 1'
_space_group_IT_number 10
_cell_length_a 3.1229
_cell_length_b 4.8482
_cell_length_c 4.7884
_cell_angle_alpha 90.00
_cell_angle_beta 93.87
_cell_angle_gamma 90.00
loop_
_space_group_symop_operation_xyz
'x,y,z'
'-x,-y,-z'
'-x,y,-z'
'x,-y,z'
loop_
_atom_site_label
_atom_site_type_symbol
_atom_site_fract_x
_atom_site_fract_y
_atom_site_fract_z
Li1 Li 0.0000 0.0000 0.0000
Re1 Re 0.2858 0.5000 0.1939
Pb1 Pb 0.5000 0.0000 0.5000



[11]
# LiRe2Pb GGA-PBE optimized geometry
# Magnetic moment, μB/cell: 0.0
# Energy relative to the elements, eV/f.u.: 2.26
# Crystal system: monoclinic
data_LiRe2Pb
_chemical_formula_sum 'Li2 Re4 Pb2'
_space_group_name_H-M_alt 'C 1 m 1'
_space_group_IT_number 8
_cell_length_a 8.3739
_cell_length_b 3.1662
_cell_length_c 5.5201
_cell_angle_alpha 90.00
_cell_angle_beta 98.45
_cell_angle_gamma 90.00
loop_
_space_group_symop_operation_xyz
'x,y,z'
'x,-y,z'
'x+1/2,y+1/2,z'
'x+1/2,-y+1/2,z'
loop_
_atom_site_label
_atom_site_type_symbol
_atom_site_fract_x
_atom_site_fract_y
_atom_site_fract_z
Li1 Li 0.0000 0.0000 0.0000
Re1 Re 0.2602 0.5000 0.2665
Re2 Re 0.4798 0.0000 0.4199
Pb1 Pb 0.2420 0.0000 0.7544



[12]
# LiRe2Pb GGA-PBE optimized geometry
# Magnetic moment, μB/cell: 0.0
# Energy relative to the elements, eV/f.u.: 3.70
# Crystal system: orthorhombic
data_LiRe2Pb
_chemical_formula_sum 'Li2 Re4 Pb2'
_space_group_name_H-M_alt 'C m m m'
_space_group_IT_number 65
_space_group_name_Hall '-C 2 2'
_cell_length_a 5.2363
_cell_length_b 9.4078
_cell_length_c 2.8078
_cell_angle_alpha 90.00
_cell_angle_beta 90.00
_cell_angle_gamma 90.00
loop_
_atom_site_label
_atom_site_type_symbol
_atom_site_fract_x
_atom_site_fract_y
_atom_site_fract_z
Li1 Li 0.0000 0.0000 0.0000
Re1 Re 0.2500 0.2500 0.5000
Pb1 Pb 0.0000 0.5000 0.0000